Record 1
Density functional theory data (GGA-PBE) for an optimized crystal structure of CsTaNi.

## Properties
ΔE to the lowest computed polymorph   0.000 eV per atom
DFT total energy   -4.20 eV/atom
Crystal system   hexagonal
Space-group type   P-6m2
Calculated volume   21.83 Å³ per atom

Cell: 5.1628 5.1628 8.5099 Å, 90.00 90.00 120.00°
Each line ends with the local moment (μB).
Atoms (fractional coordinates):
Cs: 0.6667 0.3333 0.3108  0.01
Ta: 0.3333 0.6667 0.5000  0.02
Ni: 0.0000 0.0000 0.6372  0.15
Ni: 0.0000 0.0000 0.3628  0.16
Cs: 0.6667 0.3333 0.6892  0.01
Ta: 0.3333 0.6667 0.8377  0.21
Ta: 0.3333 0.6667 0.1623  0.22
Cs: 0.0000 0.0000 0.0000  0.03
Ni: 0.6667 0.3333 0.0000  0.03

---

Record 2
Density functional theory data (GGA-PBE) for an optimized crystal structure of NaNdFe.

## Properties
ΔE to the lowest computed polymorph   0.000 eV per atom
DFT total energy   -4.01 eV/atom
Crystal system   cubic
Space-group type   F-43m
Calculated volume   26.56 Å³ per atom

Cell: 4.8303 4.8303 4.8303 Å, 60.00 60.00 60.00°
Each line ends with the local moment (μB).
Atoms (fractional coordinates):
Fe: 0.0000 0.0000 0.0000  2.38
Nd: 0.7500 0.7500 0.7500  -0.27
Na: 0.2500 0.2500 0.2500  -0.01

---

Question: Number 2 is which compound?
Answer: NaNdFe